No. 1
A plane-wave DFT calculation with PBE was carried out for K2TcNi after structural relaxation.

Cell: 4.046 4.046 10.002 Å, 100.64 100.64 57.80°
Fractional coordinates of all 4 atoms:
K  0.000  0.000  0.000
K  0.157  0.157  0.527
Tc  0.747  0.747  0.264
Ni  0.421  0.421  0.264

- Formation energy: 18.09 kcal/mol of atoms
- Relative energy among the computed polymorphs: 70.2 meV/atom
- Magnetization: 0.000 μB/f.u.
- D(E_F): 3.6 states/eV per cell

***

No. 2
A plane-wave DFT calculation with PBE was carried out for KTcNi3 after structural relaxation.

Cell: 4.437 4.437 4.437 Å, 90.00 90.00 90.00°
Fractional coordinates of all 5 atoms:
K  0.000  0.000  0.000
Tc  0.500  0.500  0.500
Ni  0.000  0.000  0.500
Ni  0.000  0.500  0.000
Ni  0.500  0.000  0.000

- Formation energy: 53.80 kcal/mol of atoms
- Relative energy among the computed polymorphs: 1293.6 meV/atom
- Magnetization: 4.501 μB/f.u.
- D(E_F): 3.8 states/eV per cell

***

No. 3
A plane-wave DFT calculation with PBE was carried out for K2TcNi after structural relaxation.

Cell: 3.431 4.533 5.588 Å, 90.00 90.00 90.00°
Fractional coordinates of all 4 atoms:
K  0.000  0.000  0.000
K  0.500  0.500  0.000
Tc  0.000  0.500  0.500
Ni  0.500  0.000  0.500

- Formation energy: 30.82 kcal/mol of atoms
- Relative energy among the computed polymorphs: 622.2 meV/atom
- Magnetization: 2.805 μB/f.u.
- D(E_F): 3.1 states/eV per cell